BeFePdAu2, optimized geometry, DFT GGA-PBE; total moment = 3.33 μB per formula unit; calculated total energy = -3.871 eV/atom; energy relative to the elements = 916 meV per atom
1.0
5.052 0.000 0.000
0.000 5.052 0.000
0.000 0.000 3.967
Be Fe Pd Au
1 1 1 2
direct
0.000 0.000 0.000 Be
0.500 0.500 0.000 Fe
0.000 0.000 0.500 Pd
0.000 0.500 0.500 Au
0.500 0.000 0.500 Au



Ta2BeFeAu, optimized geometry, DFT GGA-PBE; total moment = 0.00 μB per formula unit; calculated total energy = -7.093 eV/atom; energy relative to the elements = 741 meV per atom
1.0
4.327 0.000 0.000
0.000 4.327 0.000
0.000 0.000 4.181
Ta Be Fe Au
2 1 1 1
direct
0.000 0.500 0.000 Ta
0.500 0.000 0.000 Ta
0.000 0.000 0.000 Be
0.500 0.500 0.500 Fe
0.000 0.000 0.500 Au



BeFeTc2Au, optimized geometry, DFT GGA-PBE; total moment = 1.59 μB per formula unit; calculated total energy = -5.796 eV/atom; energy relative to the elements = 1443 meV per atom
1.0
4.326 0.000 0.000
0.000 4.326 0.000
0.000 0.000 4.759
Be Fe Tc Au
1 1 2 1
direct
0.000 0.000 0.000 Be
0.500 0.500 0.500 Fe
0.000 0.500 0.500 Tc
0.500 0.000 0.500 Tc
0.500 0.500 0.000 Au



BeFeTe2Au, optimized geometry, DFT GGA-PBE; total moment = 0.01 μB per formula unit; ΔE_f (raw) = 807 meV per atom; calculated total energy = -3.543 eV/atom
1.0
4.896 0.000 0.000
0.000 4.896 0.000
0.000 0.000 4.055
Be Fe Te Au
1 1 2 1
direct
0.000 0.000 0.000 Be
0.000 0.000 0.500 Fe
0.000 0.500 0.000 Te
0.500 0.000 0.000 Te
0.500 0.500 0.500 Au



BeGaAu, optimized geometry, DFT GGA-PBE; energy relative to the lowest polymorph listed for this composition = 0 meV/atom; total moment = 0.00 μB per formula unit; calculated total energy = -3.426 eV/atom; energy relative to the elements = -83 meV per atom
1.0
3.042 0.000 0.000
0.000 3.042 0.000
0.000 0.000 19.708
Be Ga Au
4 4 4
direct
0.000 0.000 0.219 Be
0.000 0.000 0.781 Be
0.500 0.500 0.281 Be
0.500 0.500 0.719 Be
0.000 0.000 0.063 Ga
0.000 0.000 0.937 Ga
0.500 0.500 0.437 Ga
0.500 0.500 0.563 Ga
0.000 0.000 0.343 Au
0.000 0.000 0.657 Au
0.500 0.500 0.157 Au
0.500 0.500 0.843 Au



BeGaAu2, optimized geometry, DFT GGA-PBE; total moment = 0.00 μB per formula unit; calculated total energy = -3.222 eV/atom; energy relative to the elements = 105 meV per atom
1.0
4.381 0.000 0.000
0.000 4.381 0.000
0.000 0.000 15.528
Be Ga Au
4 4 8
direct
0.000 0.000 0.000 Be
0.000 0.500 0.250 Be
0.500 0.000 0.750 Be
0.500 0.500 0.500 Be
0.000 0.000 0.500 Ga
0.000 0.500 0.750 Ga
0.500 0.000 0.250 Ga
0.500 0.500 0.000 Ga
0.211 0.250 0.125 Au
0.250 0.711 0.375 Au
0.250 0.789 0.875 Au
0.289 0.250 0.625 Au
0.711 0.750 0.625 Au
0.750 0.211 0.875 Au
0.750 0.289 0.375 Au
0.789 0.750 0.125 Au



- What is the formula in the second record?
  Ta2BeFeAu



- Which value of total moment does entry 2 give?
  0.00 μB per formula unit



- Among the records above, which one has the highest calculated total energy?
  BeGaAu2